Record 1
Computed, not measured: U3In after structural relaxation at the PBE level of DFT.

crystal system = orthorhombic
calculated density = 15.6 Mg/m³
energy of formation = 0.23 eV/atom

Cell lengths 2.942, 5.268, 5.694 Å; angles 90.00, 90.00, 90.00 degrees
Last column: magnetic moment on the atom in μB.
Element x y z (fractional)
1 U 0.000 0.000 0.989  0.72
2 U 0.500 0.000 0.488  1.51
3 U 0.500 0.500 0.851  1.36
4 In 0.000 0.500 0.338  -0.02

---

Record 2
Computed, not measured: NaDy2Te4Pb after structural relaxation at the PBE level of DFT.

ΔE_f (raw) = -1.044 eV per atom
crystal system = monoclinic
calculated density = 6.9 Mg/m³

Cell lengths 4.411, 7.646, 8.023 Å; angles 108.25, 90.00, 90.00 degrees
Element x y z (fractional)
1 Na 0.500 0.500 0.000
2 Dy 0.500 0.000 0.500
3 Dy 0.000 0.500 0.500
4 Te 0.500 0.258 0.265
5 Te 0.500 0.742 0.735
6 Te 0.000 0.245 0.734
7 Te 0.000 0.755 0.266
8 Pb 0.000 0.000 0.000

---

Record 3
Computed, not measured: AcNd4Tl5 after structural relaxation at the PBE level of DFT.

crystal system = tetragonal
calculated density = 9.8 Mg/m³
energy of formation = -0.38 eV/atom

Cell lengths 3.916, 3.916, 20.119 Å; angles 90.00, 90.00, 90.00 degrees
Element x y z (fractional)
1 Ac 0.000 0.000 0.000
2 Nd 0.000 0.000 0.208
3 Nd 0.000 0.000 0.403
4 Nd 0.000 0.000 0.597
5 Nd 0.000 0.000 0.792
6 Tl 0.500 0.500 0.112
7 Tl 0.500 0.500 0.307
8 Tl 0.500 0.500 0.500
9 Tl 0.500 0.500 0.693
10 Tl 0.500 0.500 0.888

---

Record 4
Computed, not measured: CsMgPaO4 after structural relaxation at the PBE level of DFT.

ΔE_f (raw) = -2.692 eV per atom
crystal system = orthorhombic
calculated density = 5.9 Mg/m³

Cell lengths 6.836, 7.148, 7.278 Å; angles 120.60, 90.00, 118.57 degrees
Element x y z (fractional)
1 Cs 0.846 0.693 0.096
2 Cs 0.154 0.307 0.904
3 Mg 0.500 0.500 0.500
4 Mg 0.000 0.500 0.500
5 Pa 0.500 0.000 0.500
6 Pa 0.500 0.000 0.000
7 O 0.705 0.411 0.640
8 O 0.315 0.013 0.256
9 O 0.698 0.013 0.256
10 O 0.705 0.411 0.270
11 O 0.295 0.589 0.730
12 O 0.685 0.987 0.744
13 O 0.302 0.987 0.744
14 O 0.295 0.589 0.360

---

Record 5
Computed, not measured: Tm12Pd6Rh after structural relaxation at the PBE level of DFT.

crystal system = trigonal
calculated density = 9.0 Mg/m³
energy of formation = -0.60 eV/atom

Cell lengths 8.121, 8.121, 8.121 Å; angles 99.54, 99.54, 99.54 degrees
Element x y z (fractional)
1 Tm 0.821 0.583 0.428
2 Tm 0.428 0.821 0.583
3 Tm 0.583 0.428 0.821
4 Tm 0.179 0.417 0.572
5 Tm 0.572 0.179 0.417
6 Tm 0.417 0.572 0.179
7 Tm 0.080 0.959 0.321
8 Tm 0.041 0.679 0.920
9 Tm 0.679 0.920 0.041
10 Tm 0.920 0.041 0.679
11 Tm 0.959 0.321 0.080
12 Tm 0.321 0.080 0.959
13 Pd 0.687 0.867 0.377
14 Pd 0.623 0.313 0.133
15 Pd 0.133 0.623 0.313
16 Pd 0.313 0.133 0.623
17 Pd 0.377 0.687 0.867
18 Pd 0.867 0.377 0.687
19 Rh 0.000 0.000 0.000

---

Record 6
Computed, not measured: TaTi2AlAs after structural relaxation at the PBE level of DFT.

crystal system = tetragonal
calculated density = 6.2 Mg/m³
relative energy among the computed polymorphs = 0.0 kJ/mol of atoms
energy of formation = 0.34 eV/atom

Cell lengths 4.626, 4.773, 4.626 Å; angles 90.00, 90.00, 90.00 degrees
Element x y z (fractional)
1 As 0.000 0.000 0.000
2 Ti 0.000 0.000 0.500
3 Ti 0.500 0.000 0.000
4 Al 0.500 0.500 0.500
5 Ta 0.000 0.500 0.000

---

Record 7
Computed, not measured: Nb2Ga2Bi after structural relaxation at the PBE level of DFT.

crystal system = tetragonal
calculated density = 9.2 Mg/m³
relative energy among the computed polymorphs = 10.4 kJ/mol of atoms
energy of formation = 0.15 eV/atom

Cell lengths 7.312, 7.312, 3.588 Å; angles 90.00, 90.00, 90.00 degrees
Element x y z (fractional)
1 Nb 0.175 0.675 0.500
2 Nb 0.675 0.825 0.500
3 Nb 0.825 0.325 0.500
4 Nb 0.325 0.175 0.500
5 Bi 0.000 0.000 0.000
6 Bi 0.500 0.500 0.000
7 Ga 0.380 0.880 0.000
8 Ga 0.880 0.620 0.000
9 Ga 0.620 0.120 0.000
10 Ga 0.120 0.380 0.000

---

Record 8
Computed, not measured: LiErCdCl6 after structural relaxation at the PBE level of DFT.

ΔE_f (raw) = -1.748 eV per atom
crystal system = trigonal
calculated density = 3.6 Mg/m³

Cell lengths 6.659, 6.659, 11.937 Å; angles 90.00, 90.00, 120.00 degrees
Element x y z (fractional)
1 Li 0.000 0.000 0.000
2 Li 0.000 0.000 0.500
3 Er 0.333 0.667 0.250
4 Er 0.667 0.333 0.750
5 Cd 0.667 0.333 0.250
6 Cd 0.333 0.667 0.750
7 Cl 0.659 0.663 0.126
8 Cl 0.005 0.341 0.126
9 Cl 0.341 0.005 0.626
10 Cl 0.995 0.659 0.874
11 Cl 0.337 0.341 0.374
12 Cl 0.005 0.663 0.374
13 Cl 0.663 0.005 0.874
14 Cl 0.659 0.995 0.374
15 Cl 0.995 0.337 0.626
16 Cl 0.337 0.995 0.126
17 Cl 0.663 0.659 0.626
18 Cl 0.341 0.337 0.874

---

Record 9
Computed, not measured: HoPuSbTe after structural relaxation at the PBE level of DFT.

ΔE_f (raw) = -1.070 eV per atom
crystal system = trigonal
calculated density = 9.1 Mg/m³

Cell lengths 4.406, 4.406, 7.620 Å; angles 73.20, 73.20, 60.00 degrees
Last column: magnetic moment on the atom in μB.
Element x y z (fractional)
1 Ho 0.696 0.696 0.911  0.02
2 Pu 0.192 0.192 0.423  5.44
3 Sb 0.442 0.442 0.674  -0.06
4 Te 0.946 0.946 0.163  -0.05

---

Record 10
Computed, not measured: TlPW2 after structural relaxation at the PBE level of DFT.

crystal system = trigonal
calculated density = 13.6 Mg/m³
relative energy among the computed polymorphs = 11.7 kJ/mol of atoms
energy of formation = 0.40 eV/atom

Cell lengths 9.124, 9.124, 9.124 Å; angles 19.44, 19.44, 19.44 degrees
Element x y z (fractional)
1 Tl 0.251 0.251 0.251
2 P 0.484 0.484 0.484
3 W 0.011 0.011 0.011
4 W 0.755 0.755 0.755

---

Record 11
Computed, not measured: CrCoBr after structural relaxation at the PBE level of DFT.

ΔE_f (raw) = 0.828 eV per atom
crystal system = cubic
calculated density = 6.2 Mg/m³
relative energy among the computed polymorphs = 28.0 kJ/mol of atoms

Cell lengths 4.174, 4.174, 4.174 Å; angles 60.00, 60.00, 60.00 degrees
Last column: magnetic moment on the atom in μB.
Element x y z (fractional)
1 Br 0.500 0.500 0.500  0.06
2 Co 0.750 0.750 0.750  -0.44
3 Cr 0.000 0.000 0.000  3.55

---

Record 12
Computed, not measured: Os2Br after structural relaxation at the PBE level of DFT.

ΔE_f (raw) = 2.241 eV per atom
crystal system = cubic
calculated density = 13.4 Mg/m³
relative energy among the computed polymorphs = 164.0 kJ/mol of atoms

Cell lengths 6.114, 6.114, 6.114 Å; angles 90.00, 90.00, 90.00 degrees
Element x y z (fractional)
1 Os 0.609 0.609 0.391
2 Os 0.391 0.391 0.609
3 Os 0.109 0.891 0.609
4 Os 0.891 0.109 0.391
5 Os 0.391 0.109 0.109
6 Os 0.609 0.891 0.891
7 Os 0.891 0.391 0.891
8 Os 0.109 0.609 0.109
9 Br 0.000 0.000 0.000
10 Br 0.500 0.500 0.000
11 Br 0.500 0.000 0.500
12 Br 0.000 0.500 0.500

---

The following D(E_F) values (in states/eV/f.u.) correspond, in order, to the records above: 11.13 3.33 9.05 0.00 14.24 8.27 6.69 0.00 12.27 2.10 5.57 3.83.